12
Lattice="2.9173 0.0000 0.0000 0.0000 5.5459 0.0000 0.0000 0.0000 13.8776" Properties=species:S:1:pos:R:3 comment="ScTaTc (PBE-GGA, optimized geometry)" e_tot_ev_per_atom=-9.46 e_form_ev_per_atom=0.06 pbc="T T T"
Sc 0.9852 2.7729 12.5098
Sc 1.9322 2.7729 5.5710
Sc 1.9318 0.0000 7.4158
Sc 0.9855 0.0000 0.4770
Tc 0.9399 0.0000 4.9726
Tc 1.9772 2.7729 1.0751
Tc 1.9774 0.0000 11.9114
Tc 0.9402 2.7729 8.0139
Ta 0.0001 1.3865 9.9627
Ta 0.0001 4.1594 9.9627
Ta 2.9172 4.1594 3.0239
Ta 2.9172 1.3865 3.0239